RbV3Pb4O12 | GGA+U | relaxed

a = 7.318 Å, b = 7.318 Å, c = 7.318 Å
α = 109.47°, β = 109.47°, γ = 109.47°
Atoms (fractional coordinates):
Rb  0.000  0.000  0.000
V  0.000  0.500  0.500
V  0.500  0.000  0.500
V  0.500  0.500  0.000
Pb  0.000  0.000  0.500
Pb  0.000  0.500  0.000
Pb  0.500  0.000  0.000
Pb  0.500  0.500  0.500
O  0.157  0.339  0.496
O  0.157  0.661  0.818
O  0.182  0.843  0.339
O  0.339  0.182  0.843
O  0.339  0.496  0.157
O  0.496  0.157  0.339
O  0.504  0.843  0.661
O  0.661  0.504  0.843
O  0.661  0.818  0.157
O  0.818  0.157  0.661
O  0.843  0.339  0.182
O  0.843  0.661  0.504

Summary:
Energy = -121.7 eV/cell
Space-group type = Im-3, No. 204
Crystal system = cubic